Entry 1:
DFT (PBE-GGA) results for crystalline LuThMnCo at its relaxed geometry.

Cell lengths 4.861, 4.861, 4.861 Å; angles 60.00, 60.00, 60.00 degrees
Last column: magnetic moment on the atom in μB.
Fractional coordinates of all 4 atoms:
Mn  0.000  0.000  0.000  2.84
Lu  0.750  0.750  0.750  -0.25
Co  0.500  0.500  0.500  1.10
Th  0.250  0.250  0.250  -0.25

## Properties
ΔE_f   3 kJ/mol of formula units

Entry 2:
DFT (PBE-GGA) results for crystalline LuMnZnCo at its relaxed geometry.

Cell lengths 4.495, 4.495, 4.495 Å; angles 60.00, 60.00, 60.00 degrees
Last column: magnetic moment on the atom in μB.
Fractional coordinates of all 4 atoms:
Zn  0.000  0.000  0.000  -0.05
Lu  0.750  0.750  0.750  -0.24
Co  0.500  0.500  0.500  1.22
Mn  0.250  0.250  0.250  3.45

## Properties
ΔE_f   -20 kJ/mol of formula units

Entry 3:
DFT (PBE-GGA) results for crystalline LuZrMnCo at its relaxed geometry.

Cell lengths 4.557, 4.557, 4.557 Å; angles 60.00, 60.00, 60.00 degrees
Last column: magnetic moment on the atom in μB.
Fractional coordinates of all 4 atoms:
Mn  0.250  0.250  0.250  0.73
Lu  0.500  0.500  0.500  -0.06
Co  0.750  0.750  0.750  0.07
Zr  0.000  0.000  0.000  -0.14

## Properties
ΔE_f   -14 kJ/mol of formula units

Entry 4:
DFT (PBE-GGA) results for crystalline LuCo4Mo at its relaxed geometry.

Cell lengths 4.815, 4.815, 4.815 Å; angles 60.00, 60.00, 60.00 degrees
Last column: magnetic moment on the atom in μB.
Fractional coordinates of all 6 atoms:
Mo  0.250  0.250  0.250  -0.10
Lu  0.000  0.000  0.000  -0.05
Co  0.626  0.626  0.123  0.28
Co  0.626  0.123  0.626  0.28
Co  0.626  0.626  0.626  0.28
Co  0.123  0.626  0.626  0.28

## Properties
ΔE_f   -9 kJ/mol of formula units

Entry 5:
DFT (PBE-GGA) results for crystalline LuCoTcMo at its relaxed geometry.

Cell lengths 4.485, 4.485, 4.485 Å; angles 60.00, 60.00, 60.00 degrees
Last column: magnetic moment on the atom in μB.
Fractional coordinates of all 4 atoms:
Mo  0.000  0.000  0.000  -0.25
Lu  0.500  0.500  0.500  0.10
Co  0.750  0.750  0.750  -1.12
Tc  0.250  0.250  0.250  0.07

## Properties
ΔE_f   2 kJ/mol of formula units

Entry 6:
DFT (PBE-GGA) results for crystalline NaLuCo4 at its relaxed geometry.

Cell lengths 4.983, 4.983, 4.983 Å; angles 60.00, 60.00, 60.00 degrees
Last column: magnetic moment on the atom in μB.
Fractional coordinates of all 6 atoms:
Na  0.000  0.000  0.000  -0.02
Lu  0.250  0.250  0.250  -0.36
Co  0.625  0.625  0.126  1.53
Co  0.625  0.126  0.625  1.53
Co  0.625  0.625  0.625  1.53
Co  0.126  0.625  0.625  1.53

## Properties
ΔE_f   45 kJ/mol of formula units

Entry 7:
DFT (PBE-GGA) results for crystalline NaLu3Co at its relaxed geometry.

Cell lengths 5.180, 5.180, 5.180 Å; angles 90.00, 90.00, 90.00 degrees
Fractional coordinates of all 5 atoms:
Na  0.500  0.500  0.500
Lu  0.000  0.500  0.000
Lu  0.000  0.000  0.500
Lu  0.500  0.000  0.000
Co  0.000  0.000  0.000

## Properties
ΔE_f   -5 kJ/mol of formula units

Entry 8:
DFT (PBE-GGA) results for crystalline Lu2NbCo at its relaxed geometry.

Cell lengths 3.161, 3.161, 9.959 Å; angles 80.87, 80.87, 60.00 degrees
Last column: magnetic moment on the atom in μB.
Fractional coordinates of all 4 atoms:
Nb  0.000  0.000  0.000  0.52
Lu  0.101  0.101  0.697  -0.01
Lu  0.899  0.899  0.303  -0.01
Co  0.500  0.500  0.500  0.24

## Properties
ΔE_f   182 kJ/mol of formula units

Entry 9:
DFT (PBE-GGA) results for crystalline LuNbCo2 at its relaxed geometry.

Cell lengths 3.069, 4.533, 4.533 Å; angles 90.00, 90.00, 90.00 degrees
Last column: magnetic moment on the atom in μB.
Fractional coordinates of all 4 atoms:
Nb  0.500  0.000  0.000  0.09
Lu  0.500  0.500  0.500  -0.17
Co  0.000  0.000  0.500  0.87
Co  0.000  0.500  0.000  0.87

## Properties
Energy above the most stable polymorph in this dataset   71 meV per atom
ΔE_f   -35 kJ/mol of formula units

Entry 10:
DFT (PBE-GGA) results for crystalline LuNbCo2 at its relaxed geometry.

Cell lengths 3.115, 3.115, 6.602 Å; angles 90.00, 90.00, 90.00 degrees
Fractional coordinates of all 4 atoms:
Nb  0.500  0.500  0.000
Lu  0.500  0.500  0.500
Co  0.000  0.000  0.792
Co  0.000  0.000  0.208

## Properties
Energy above the most stable polymorph in this dataset   0 meV per atom
ΔE_f   -62 kJ/mol of formula units

Entry 11:
DFT (PBE-GGA) results for crystalline LuNbCo4 at its relaxed geometry.

Cell lengths 4.864, 4.864, 4.864 Å; angles 60.00, 60.00, 60.00 degrees
Last column: magnetic moment on the atom in μB.
Fractional coordinates of all 6 atoms:
Nb  0.250  0.250  0.250  -0.31
Lu  0.000  0.000  0.000  -0.14
Co  0.626  0.626  0.123  0.58
Co  0.626  0.123  0.626  0.58
Co  0.626  0.626  0.626  0.58
Co  0.123  0.626  0.626  0.58

## Properties
ΔE_f   -100 kJ/mol of formula units

Entry 12:
DFT (PBE-GGA) results for crystalline LuNbCo2 at its relaxed geometry.

Cell lengths 4.468, 4.468, 4.468 Å; angles 60.00, 60.00, 60.00 degrees
Last column: magnetic moment on the atom in μB.
Fractional coordinates of all 4 atoms:
Nb  0.500  0.500  0.500  0.06
Lu  0.000  0.000  0.000  0.10
Co  0.250  0.250  0.250  -0.75
Co  0.750  0.750  0.750  -0.75

## Properties
Energy above the most stable polymorph in this dataset   70 meV per atom
ΔE_f   -35 kJ/mol of formula units